# 1
Entry from Alexandria: a relaxed TaTc2Ir crystal (GGA-PBEsol).

The calculation puts the formation energy at -0.177 eV/atom. The space group is No. 139. The total energy is -11.40 eV/atom. The calculation puts the polymorph energy (0 for the lowest one) at 39 meV/atom. The crystal system is tetragonal.

```
4
Lattice="-2.002 2.436 -2.220 -2.226 0.917 3.013 4.632 1.271 0.567" Properties=species:S:1:pos:R:3 pbc="T T T"
Tc 0.258 2.692 -0.629
Tc 0.146 1.932 1.988
Ta 0.000 0.000 0.000
Ir -2.114 1.677 0.396
```


# 2
Entry from Alexandria: a relaxed TlRe3I crystal (GGA-PBEsol).

The space group is No. 221. The value obtained for the energy relative to the elements, uncorrected is 2874 meV per atom. The total energy is -6.00 eV/atom. The crystal system is cubic.

```
5
Lattice="-0.561 4.069 2.526 1.163 -2.351 4.046 4.646 1.080 -0.707" Properties=species:S:1:pos:R:3 pbc="T T T"
Re -0.281 2.035 1.263
Re 2.323 0.540 -0.354
Re 0.581 -1.176 2.023
Tl 2.624 1.399 2.932
I 0.000 0.000 0.000
```


# 3
Entry from Alexandria: a relaxed Cr4CuO12 crystal (GGA-PBEsol).

The space group is No. 5. The value obtained for the energy relative to the elements, uncorrected is -1526 meV per atom. The total energy is -7.90 eV/atom. The crystal system is monoclinic.

```
17
Lattice="-4.291 -3.432 -1.569 2.928 -5.338 -2.649 -0.985 -4.026 5.186" Properties=species:S:1:pos:R:3 pbc="T T T"
O -2.105 -7.601 2.839
O 2.048 -6.542 -0.518
O -2.113 -8.839 0.407
O -0.062 -6.979 1.175
O -2.883 -3.204 0.043
O -0.206 -9.344 2.408
O 0.341 -1.470 -0.460
O -2.290 -4.509 2.228
O -2.004 -11.556 0.056
O -2.335 -6.945 -2.640
O -2.316 -5.807 -0.147
O -0.222 -3.961 0.534
Cr -1.155 -8.224 1.736
Cr 1.656 -6.769 1.041
Cr -3.286 -6.267 -1.511
Cr -1.925 -4.327 0.699
Cu 2.599 -5.227 -1.990
```


# 4
Entry from Alexandria: a relaxed AlZn3 crystal (GGA-PBEsol).

The calculation puts the formation energy at 0.019 eV/atom. The space group is No. 166. The total energy is -2.19 eV/atom. The crystal system is trigonal.

```
4
Lattice="2.847 0.000 0.000 1.423 2.465 0.000 1.423 0.822 8.411" Properties=species:S:1:pos:R:3 pbc="T T T"
Zn 4.270 2.465 6.267
Zn 1.423 0.822 2.144
Zn 2.847 1.644 4.206
Al 0.000 0.000 0.000
```


Number 4 is which compound? AlZn3


Copy entry 4 word for word.
Entry from Alexandria: a relaxed AlZn3 crystal (GGA-PBEsol).

The calculation puts the formation energy at 0.019 eV/atom. The space group is No. 166. The total energy is -2.19 eV/atom. The crystal system is trigonal.

```
4
Lattice="2.847 0.000 0.000 1.423 2.465 0.000 1.423 0.822 8.411" Properties=species:S:1:pos:R:3 pbc="T T T"
Zn 4.270 2.465 6.267
Zn 1.423 0.822 2.144
Zn 2.847 1.644 4.206
Al 0.000 0.000 0.000
```


Please write out number 1 again, unchanged.
Entry from Alexandria: a relaxed TaTc2Ir crystal (GGA-PBEsol).

The calculation puts the formation energy at -0.177 eV/atom. The space group is No. 139. The total energy is -11.40 eV/atom. The calculation puts the polymorph energy (0 for the lowest one) at 39 meV/atom. The crystal system is tetragonal.

```
4
Lattice="-2.002 2.436 -2.220 -2.226 0.917 3.013 4.632 1.271 0.567" Properties=species:S:1:pos:R:3 pbc="T T T"
Tc 0.258 2.692 -0.629
Tc 0.146 1.932 1.988
Ta 0.000 0.000 0.000
Ir -2.114 1.677 0.396
```